[1]
First-principles (PBE) data for a geometry-optimized KTi2Sn structure, as listed in the Alexandria database.

## Properties
ΔE_f = 738 meV per atom

a b c (Å): 10.8111 10.8111 10.8111
angles (deg): 153.85 153.85 37.31
Last column: nearest neighbours and their distance in Å.
Positions (direct):
K 0.0000 0.0000 0.0000  4 Sn 3.46, 8 Ti 3.69-3.80
K 0.7500 0.2500 0.5000  4 Sn 3.46, 8 Ti 3.69-3.80
Ti 0.3577 0.6250 0.2327  2 Ti 2.45
Ti 0.3750 0.6077 0.7327  2 Ti 2.45
Ti 0.3923 0.1250 0.7673  2 Ti 2.45
Ti 0.8750 0.6423 0.2673  2 Ti 2.45
Sn 0.2500 0.7500 0.5000  4 Ti 2.84
Sn 0.5000 0.5000 0.0000  4 Ti 2.84

[2]
First-principles (PBE) data for a geometry-optimized KTi2Sn2 structure, as listed in the Alexandria database.

## Properties
ΔE_f = -100 meV per atom

a b c (Å): 8.7251 8.7251 3.0394
angles (deg): 90.00 90.00 90.00
Last column: nearest neighbours and their distance in Å.
Positions (direct):
K 0.0000 0.0000 0.0000  2 K 3.04
K 0.5000 0.5000 0.0000  2 K 3.04
Ti 0.1147 0.3853 0.0000  3 Ti 2.83-3.04, 6 Sn 2.97-3.04
Ti 0.3853 0.8853 0.0000  3 Ti 2.83-3.04, 6 Sn 2.97-3.04
Ti 0.6147 0.1147 0.0000  3 Ti 2.83-3.04, 6 Sn 2.97-3.04
Ti 0.8853 0.6147 0.0000  3 Ti 2.83-3.04, 6 Sn 2.97-3.04
Sn 0.1723 0.6723 0.5000  6 Ti 2.97-3.04, 2 Sn 3.04
Sn 0.3277 0.1723 0.5000  6 Ti 2.97-3.04, 2 Sn 3.04
Sn 0.6723 0.8277 0.5000  6 Ti 2.97-3.04, 2 Sn 3.04
Sn 0.8277 0.3277 0.5000  6 Ti 2.97-3.04, 2 Sn 3.04

| no. | volume (Å³ per atom) | raw total energy (Ry per atom) |
| --- | --- | --- |
| 1 | 30.63 | -0.3296 |
| 2 | 23.14 | -0.3733 |